Record 1
# Pm4Sm2Ho2Er

A relaxed Pm4Sm2Ho2Er crystal (PBE, Alexandria via LeMat-Bulk).

Calculated values
Calculated formation energy   20 meV per atom
Magnetization   0.00 μB per formula unit
Symmetry   No. 12

Cell lengths 5.0983, 8.0656, 8.0327 Å; angles 107.57, 90.00, 108.42 degrees
Last column: nearest neighbours and their distance in Å.
Fractional positions:
Pm 0.4450 0.8901 0.6690  2 Ho 3.58-3.59, 2 Er 3.59, 4 Sm 3.60-3.63, 4 Pm 3.61-3.62
Pm 0.7780 0.5561 0.6690  3 Ho 3.59, 1 Er 3.59, 3 Sm 3.61-3.63, 5 Pm 3.61-3.62
Pm 0.2220 0.4439 0.3310  3 Ho 3.59, 1 Er 3.59, 3 Sm 3.61-3.63, 5 Pm 3.61-3.62
Pm 0.5550 0.1099 0.3310  2 Ho 3.58-3.59, 2 Er 3.59, 4 Sm 3.60-3.63, 4 Pm 3.61-3.62
Er 0.0000 0.0000 0.0000  2 Sm 3.58, 6 Pm 3.59, 4 Ho 3.60
Ho 0.6666 0.3331 0.0000  5 Pm 3.58-3.59, 3 Sm 3.58, 2 Er 3.60, 2 Ho 3.61
Ho 0.3334 0.6669 0.0000  5 Pm 3.58-3.59, 3 Sm 3.58, 2 Er 3.60, 2 Ho 3.61
Sm 0.1116 0.2231 0.6696  3 Ho 3.58, 1 Er 3.58, 7 Pm 3.60-3.63, 1 Sm 3.63
Sm 0.8884 0.7769 0.3304  3 Ho 3.58, 1 Er 3.58, 7 Pm 3.60-3.63, 1 Sm 3.63

***

Record 2
# Li2FeH4

A relaxed Li2FeH4 crystal (PBE, Alexandria via LeMat-Bulk).

Calculated values
Magnetization   0.00 μB per formula unit
Symmetry   No. 142
Energy above the most stable polymorph in this dataset   2.7 meV per atom

Cell lengths 4.4269, 4.4269, 10.4654 Å; angles 102.21, 102.21, 90.00 degrees
Last column: nearest neighbours and their distance in Å.
Fractional positions:
Li 0.6757 0.6757 0.3514  3 H 1.90-1.91
Li 0.4257 0.9257 0.8514  3 H 1.90-1.91
Li 0.0743 0.5743 0.1486  3 H 1.90-1.91
Li 0.5743 0.0743 0.1486  3 H 1.90-1.91
Li 0.8243 0.8243 0.6486  3 H 1.90-1.91
Li 0.9257 0.4257 0.8514  3 H 1.90-1.91
Li 0.1757 0.1757 0.3514  3 H 1.90-1.91
Li 0.3243 0.3243 0.6486  3 H 1.90-1.91
H 0.0588 0.4412 0.5000  2 Fe 1.61
H 0.5588 0.5588 0.5000  2 Fe 1.61
H 0.6693 0.1693 0.3386  1 Fe 1.61
H 0.4412 0.0588 0.5000  2 Fe 1.61
H 0.4193 0.4193 0.8386  1 Fe 1.61
H 0.1693 0.6693 0.3386  1 Fe 1.61
H 0.6912 0.8088 0.0000  2 Fe 1.61
H 0.3307 0.8307 0.6614  1 Fe 1.61
H 0.5807 0.5807 0.1614  1 Fe 1.61
H 0.0807 0.0807 0.1614  1 Fe 1.61
H 0.8088 0.3088 0.0000  2 Fe 1.61
H 0.9412 0.9412 0.5000  2 Fe 1.61
H 0.8307 0.3307 0.6614  1 Fe 1.61
H 0.9193 0.9193 0.8386  1 Fe 1.61
H 0.3088 0.1912 0.0000  2 Fe 1.61
H 0.1912 0.6912 0.0000  2 Fe 1.61
Fe 0.2500 0.7500 0.5000  6 H 1.61
Fe 0.0000 0.0000 0.0000  6 H 1.61
Fe 0.7500 0.2500 0.5000  6 H 1.61
Fe 0.5000 0.5000 0.0000  6 H 1.61

***

Record 3
# LiTbGdAl

A relaxed LiTbGdAl crystal (PBE, Alexandria via LeMat-Bulk).

Calculated values
Calculated formation energy   -209 meV per atom
Magnetization   7.55 μB per formula unit
Symmetry   No. 216

Cell lengths 5.1897, 5.1897, 5.1897 Å; angles 60.00, 60.00, 60.00 degrees
Last column: nearest neighbours and their distance in Å.
Fractional positions:
Tb 0.5000 0.5000 0.5000  4 Li 3.18, 4 Al 3.18
Al 0.2500 0.2500 0.2500  4 Tb 3.18, 4 Gd 3.18
Li 0.7500 0.7500 0.7500  4 Gd 3.18, 4 Tb 3.18
Gd 0.0000 0.0000 0.0000  4 Al 3.18, 4 Li 3.18

***

Record 4
# SrMg12Cd6

A relaxed SrMg12Cd6 crystal (PBE, Alexandria via LeMat-Bulk).

Calculated values
Calculated formation energy   -22 meV per atom
Magnetization   0.00 μB per formula unit
Symmetry   No. 166

Cell lengths 8.1477, 8.1477, 8.1477 Å; angles 104.54, 104.54, 104.54 degrees
Last column: nearest neighbours and their distance in Å.
Fractional positions:
Mg 0.1142 0.8858 0.5000  4 Cd 2.81-2.92, 1 Mg 2.94
Mg 0.1142 0.5000 0.8858  4 Cd 2.81-2.92, 1 Mg 2.94
Mg 0.8858 0.1142 0.5000  4 Cd 2.81-2.92, 1 Mg 2.94
Mg 0.8858 0.5000 0.1142  4 Cd 2.81-2.92, 1 Mg 2.94
Mg 0.4090 0.1538 0.4090  4 Cd 2.94-3.28, 4 Mg 3.19-3.29
Mg 0.4090 0.4090 0.1538  4 Cd 2.94-3.28, 4 Mg 3.19-3.29
Mg 0.5910 0.5910 0.8462  4 Cd 2.94-3.28, 4 Mg 3.19-3.29
Mg 0.1538 0.4090 0.4090  4 Cd 2.94-3.28, 4 Mg 3.19-3.29
Mg 0.8462 0.5910 0.5910  4 Cd 2.94-3.28, 4 Mg 3.19-3.29
Mg 0.5000 0.1142 0.8858  4 Cd 2.81-2.92, 1 Mg 2.94
Mg 0.5000 0.8858 0.1142  4 Cd 2.81-2.92, 1 Mg 2.94
Mg 0.5910 0.8462 0.5910  4 Cd 2.94-3.28, 4 Mg 3.19-3.29
Cd 0.2685 0.7123 0.2685  7 Mg 2.81-3.01
Cd 0.7315 0.7315 0.2877  7 Mg 2.81-3.01
Cd 0.7315 0.2877 0.7315  7 Mg 2.81-3.01
Cd 0.2685 0.2685 0.7123  7 Mg 2.81-3.01
Cd 0.7123 0.2685 0.2685  7 Mg 2.81-3.01
Cd 0.2877 0.7315 0.7315  7 Mg 2.81-3.01
Sr 0.0000 0.0000 0.0000  6 Mg 3.74

***

Record 5
# Ho2Tl5Br12

A relaxed Ho2Tl5Br12 crystal (PBE, Alexandria via LeMat-Bulk).

Calculated values
Uncorrected formation energy   -1.22 eV per atom
Magnetization   0.00 μB per formula unit
Symmetry   No. 12

Cell lengths 8.3718, 9.8899, 10.4105 Å; angles 107.53, 90.00, 115.04 degrees
Last column: nearest neighbours and their distance in Å.
Fractional positions:
Br 0.5061 0.0121 0.1904  2 Ho 2.85
Br 0.4241 0.3234 0.0827  1 Ho 2.74
Br 0.1008 0.6766 0.9173  1 Ho 2.74
Br 0.1125 0.7387 0.4436  3 Tl 3.01-3.34
Br 0.9964 0.9927 0.8165  2 Ho 2.83
Br 0.8875 0.2613 0.5564  3 Tl 3.01-3.34
Br 0.0036 0.0073 0.1835  2 Ho 2.83
Br 0.5759 0.6766 0.9173  1 Ho 2.74
Br 0.6262 0.7387 0.4436  3 Tl 3.01-3.34
Br 0.4939 0.9879 0.8096  2 Ho 2.85
Br 0.3738 0.2613 0.5564  3 Tl 3.01-3.34
Br 0.8992 0.3234 0.0827  1 Ho 2.74
Tl 0.2831 0.5661 0.6252  7 Br 3.29-3.63
Tl 0.6862 0.3724 0.8159  7 Br 3.34-3.56
Tl 0.7169 0.4339 0.3748  7 Br 3.29-3.63
Tl 0.3138 0.6276 0.1841  7 Br 3.34-3.56
Tl 0.0000 0.0000 0.5000  6 Br 3.01-3.32
Ho 0.7480 0.0000 0.0000  6 Br 2.74-2.85
Ho 0.2520 0.0000 0.0000  6 Br 2.74-2.85

***

Record 6
# Tb6Sb3Te2Pb

A relaxed Tb6Sb3Te2Pb crystal (PBE, Alexandria via LeMat-Bulk).

Calculated values
Uncorrected formation energy   -1.14 eV per atom
Magnetization   0.00 μB per formula unit
Symmetry   No. 12

Cell lengths 4.4028, 8.8397, 9.8474 Å; angles 102.87, 102.92, 90.00 degrees
Last column: nearest neighbours and their distance in Å.
Fractional positions:
Pb 0.5000 0.0000 0.0000  6 Tb 3.10-3.12
Te 0.8325 0.6644 0.6650  6 Tb 3.15-3.17
Te 0.1675 0.3356 0.3350  6 Tb 3.15-3.17
Tb 0.6658 0.0766 0.3317  3 Sb 3.09-3.10, 1 Pb 3.10, 2 Te 3.17
Tb 0.6641 0.5897 0.3281  3 Sb 3.07, 3 Te 3.15-3.16
Tb 0.9982 0.2494 0.9965  3 Sb 3.12, 2 Pb 3.12, 1 Te 3.16
Tb 0.3342 0.9234 0.6683  3 Sb 3.09-3.10, 1 Pb 3.10, 2 Te 3.17
Tb 0.0018 0.7506 0.0035  3 Sb 3.12, 2 Pb 3.12, 1 Te 3.16
Tb 0.3359 0.4103 0.6719  3 Sb 3.07, 3 Te 3.15-3.16
Sb 0.1685 0.8332 0.3370  6 Tb 3.07-3.12
Sb 0.5000 0.5000 0.0000  6 Tb 3.07-3.12
Sb 0.8315 0.1668 0.6630  6 Tb 3.07-3.12

***

| no. | Fermi-level density of states (states/eV/f.u.) |
| --- | --- |
| 1 | 13.89 |
| 2 | 2.11 |
| 3 | 3.49 |
| 4 | 8.99 |
| 5 | 6.74 |
| 6 | 2.66 |